! CsReO4 | Alexandria via LeMat-Bulk | PBE | optimized geometry; values from VASP
&SYSTEM
  ibrav = 0, nat = 24, ntyp = 3
/
ATOMIC_SPECIES
Cs 132.91 Cs.upf
Re 186.21 Re.upf
O 16.00 O.upf
CELL_PARAMETERS angstrom
5.977 0.000 0.000
0.000 6.141 0.000
0.000 0.000 14.653
ATOMIC_POSITIONS crystal
Cs 0.481 0.250 0.628
Cs 0.981 0.250 0.872
Cs 0.519 0.750 0.372
Cs 0.019 0.750 0.128
Re 0.470 0.750 0.881
Re 0.970 0.750 0.619
Re 0.530 0.250 0.119
Re 0.030 0.250 0.381
O 0.521 0.516 0.815
O 0.021 0.984 0.685
O 0.479 0.016 0.185
O 0.979 0.484 0.315
O 0.479 0.484 0.185
O 0.979 0.016 0.315
O 0.521 0.984 0.815
O 0.021 0.516 0.685
O 0.810 0.250 0.082
O 0.310 0.250 0.418
O 0.190 0.750 0.918
O 0.690 0.750 0.582
O 0.850 0.250 0.476
O 0.350 0.250 0.024
O 0.150 0.750 0.524
O 0.650 0.750 0.976
! E_form (uncorrected)	-1897	meV per atom
! E_tot	-44.51	eV/f.u.